[1]
LiTh3C | Alexandria | PBE | optimized geometry; VASP energy = -6.67 eV/atom; ΔE_f = 10 meV/atom; SG = Pm-3m (221)
1.0
5.0933 0.0000 0.0000
0.0000 5.0933 0.0000
0.0000 0.0000 5.0933
Li Th C
1 3 1
Direct
0.0000 0.0000 0.0000
0.0000 0.5000 0.5000
0.5000 0.0000 0.5000
0.5000 0.5000 0.0000
0.5000 0.5000 0.5000

=====

[2]
LiTi4C2 | Alexandria | PBE | optimized geometry; VASP energy = -7.04 eV/atom; ΔE_f = 385 meV/atom; SG = I4/mmm (139)
1.0
-2.1994 2.1994 5.1617
2.1994 -2.1994 5.1617
2.1994 2.1994 -5.1617
Li Ti C
1 4 2
Direct
0.0000 0.0000 0.0000
0.0000 0.5000 0.5000
0.2482 0.2482 0.0000
0.5000 0.0000 0.5000
0.7518 0.7518 0.0000
0.4339 0.4339 0.0000
0.5661 0.5661 0.0000

=====

[3]
LiTi3C | Alexandria | PBE | optimized geometry; VASP energy = -7.13 eV/atom; ΔE_f = -162 meV/atom; SG = Pm-3m (221)
1.0
4.2141 0.0000 0.0000
0.0000 4.2141 0.0000
0.0000 0.0000 4.2141
Li Ti C
1 3 1
Direct
0.0000 0.0000 0.0000
0.0000 0.5000 0.5000
0.5000 0.0000 0.5000
0.5000 0.5000 0.0000
0.5000 0.5000 0.5000

=====

[4]
LiTiC3 | Alexandria | PBE | optimized geometry; VASP energy = -5.46 eV/atom; ΔE_f = 2032 meV/atom; SG = Pm-3m (221)
1.0
3.5454 0.0000 0.0000
0.0000 3.5454 0.0000
0.0000 0.0000 3.5454
Li Ti C
1 1 3
Direct
0.0000 0.0000 0.0000
0.5000 0.5000 0.5000
0.0000 0.0000 0.5000
0.0000 0.5000 0.0000
0.5000 0.0000 0.0000

=====

[5]
LiTiC3 | Alexandria | PBE | optimized geometry; VASP energy = -5.89 eV/atom; ΔE_f = 1601 meV/atom; SG = Pm-3m (221)
1.0
4.0421 0.0000 0.0000
0.0000 4.0421 0.0000
0.0000 0.0000 4.0421
Li Ti C
1 1 3
Direct
0.0000 0.0000 0.0000
0.5000 0.5000 0.5000
0.0000 0.5000 0.5000
0.5000 0.0000 0.5000
0.5000 0.5000 0.0000

=====

[6]
Li2TiC2 | Alexandria | PBE | optimized geometry; VASP energy = -5.32 eV/atom; ΔE_f = 712 meV/atom; SG = P4/mbm (127)
1.0
6.0993 0.0000 0.0000
0.0000 6.0993 0.0000
0.0000 0.0000 2.3278
Li Ti C
4 2 4
Direct
0.1107 0.3893 0.0000
0.3893 0.8893 0.0000
0.6107 0.1107 0.0000
0.8893 0.6107 0.0000
0.0000 0.0000 0.0000
0.5000 0.5000 0.0000
0.1877 0.6877 0.5000
0.3123 0.1877 0.5000
0.6877 0.8123 0.5000
0.8123 0.3123 0.5000

=====

[7]
Li2TiC2 | Alexandria | PBE | optimized geometry; VASP energy = -5.22 eV/atom; ΔE_f = 813 meV/atom; SG = I4/mmm (139)
1.0
-1.7983 1.7983 3.4706
1.7983 -1.7983 3.4706
1.7983 1.7983 -3.4706
Li Ti C
2 1 2
Direct
0.1442 0.1442 0.0000
0.8558 0.8558 0.0000
0.5000 0.5000 0.0000
0.2500 0.7500 0.5000
0.7500 0.2500 0.5000

=====

[8]
LiTi2C | Alexandria | PBE | optimized geometry; VASP energy = -7.07 eV/atom; ΔE_f = -338 meV/atom; SG = R3m (160)
1.0
1.5315 0.8842 7.5673
-1.5315 0.8842 7.5673
0.0000 -1.7684 7.5673
Li Ti C
1 2 1
Direct
0.0000 0.0000 0.0000
0.5496 0.5496 0.5496
0.7825 0.7825 0.7825
0.1661 0.1661 0.1661

=====

[9]
LiTi2C | Alexandria | PBE | optimized geometry; VASP energy = -6.52 eV/atom; ΔE_f = 213 meV/atom; SG = I-42d (122)
1.0
-3.3055 3.3055 2.5868
3.3055 -3.3055 2.5868
3.3055 3.3055 -2.5868
Li Ti C
2 4 2
Direct
0.0000 0.0000 0.0000
0.7500 0.2500 0.5000
0.2125 0.6250 0.0875
0.3750 0.4625 0.5875
0.5375 0.1250 0.9125
0.8750 0.7875 0.4125
0.2500 0.7500 0.5000
0.5000 0.5000 0.0000

=====

[10]
LiTi2C | Alexandria | PBE | optimized geometry; VASP energy = -7.07 eV/atom; ΔE_f = -339 meV/atom; SG = R-3m (166)
1.0
1.5315 0.8842 7.5620
-1.5315 0.8842 7.5620
0.0000 -1.7685 7.5620
Li Ti C
1 2 1
Direct
0.0000 0.0000 0.0000
0.2170 0.2170 0.2170
0.7830 0.7830 0.7830
0.5000 0.5000 0.5000

=====

[11]
Li3TiC | Alexandria | PBE | optimized geometry; VASP energy = -2.35 eV/atom; ΔE_f = 2225 meV/atom; SG = Pm-3m (221)
1.0
5.0231 0.0000 0.0000
0.0000 5.0231 0.0000
0.0000 0.0000 5.0231
Li Ti C
3 1 1
Direct
0.0000 0.0000 0.5000
0.0000 0.5000 0.0000
0.5000 0.0000 0.0000
0.0000 0.0000 0.0000
0.5000 0.5000 0.5000

=====

[12]
Li3TiC | Alexandria | PBE | optimized geometry; VASP energy = -3.81 eV/atom; ΔE_f = 763 meV/atom; SG = Pm-3m (221)
1.0
3.9564 0.0000 0.0000
0.0000 3.9564 0.0000
0.0000 0.0000 3.9564
Li Ti C
3 1 1
Direct
0.0000 0.0000 0.5000
0.0000 0.5000 0.0000
0.5000 0.0000 0.0000
0.5000 0.5000 0.5000
0.0000 0.0000 0.0000

=====

[13]
LiTiC | Alexandria | PBE | optimized geometry; VASP energy = -6.55 eV/atom; ΔE_f = -208 meV/atom; SG = F-43m (216)
1.0
0.0000 2.5093 2.5093
2.5093 0.0000 2.5093
2.5093 2.5093 0.0000
Li Ti C
1 1 1
Direct
0.0000 0.0000 0.0000
0.5000 0.5000 0.5000
0.7500 0.7500 0.7500

=====

[14]
LiY2TiC | Alexandria | PBE | optimized geometry; VASP energy = -6.50 eV/atom; ΔE_f = -104 meV/atom; SG = P4/mmm (123)
1.0
5.0414 0.0000 0.0000
0.0000 5.0414 0.0000
0.0000 0.0000 4.1569
Li Y Ti C
1 2 1 1
Direct
0.0000 0.0000 0.0000
0.0000 0.5000 0.5000
0.5000 0.0000 0.5000
0.5000 0.5000 0.0000
0.5000 0.5000 0.5000

=====

[15]
Li3TlC | Alexandria | PBE | optimized geometry; VASP energy = -2.04 eV/atom; ΔE_f = 1426 meV/atom; SG = Pm-3m (221)
1.0
5.1253 0.0000 0.0000
0.0000 5.1253 0.0000
0.0000 0.0000 5.1253
Li Tl C
3 1 1
Direct
0.0000 0.0000 0.5000
0.0000 0.5000 0.0000
0.5000 0.0000 0.0000
0.0000 0.0000 0.0000
0.5000 0.5000 0.5000

=====

[16]
LiTlC3 | Alexandria | PBE | optimized geometry; VASP energy = -3.18 eV/atom; ΔE_f = 3212 meV/atom; SG = Pm-3m (221)
1.0
4.4960 0.0000 0.0000
0.0000 4.4960 0.0000
0.0000 0.0000 4.4960
Li Tl C
1 1 3
Direct
0.0000 0.0000 0.0000
0.5000 0.5000 0.5000
0.0000 0.5000 0.5000
0.5000 0.0000 0.5000
0.5000 0.5000 0.0000

=====

[17]
LiTlC3 | Alexandria | PBE | optimized geometry; VASP energy = -3.55 eV/atom; ΔE_f = 2840 meV/atom; SG = Pm-3m (221)
1.0
3.9464 0.0000 0.0000
0.0000 3.9464 0.0000
0.0000 0.0000 3.9464
Li Tl C
1 1 3
Direct
0.0000 0.0000 0.0000
0.5000 0.5000 0.5000
0.0000 0.0000 0.5000
0.0000 0.5000 0.0000
0.5000 0.0000 0.0000

=====

[18]
Li2TlC | Alexandria | PBE | optimized geometry; VASP energy = -3.03 eV/atom; ΔE_f = 820 meV/atom; SG = Fm-3m (225)
1.0
0.0000 3.0300 3.0300
3.0300 0.0000 3.0300
3.0300 3.0300 0.0000
Li Tl C
2 1 1
Direct
0.2500 0.2500 0.2500
0.7500 0.7500 0.7500
0.0000 0.0000 0.0000
0.5000 0.5000 0.5000

=====

[19]
Li2TlC | Alexandria | PBE | optimized geometry; VASP energy = -2.96 eV/atom; ΔE_f = 890 meV/atom; SG = I4_1/amd (141)
1.0
-2.2520 2.2520 6.7554
2.2520 -2.2520 6.7554
2.2520 2.2520 -6.7554
Li Tl C
4 2 2
Direct
0.0000 0.0000 0.0000
0.0000 0.0000 0.5000
0.0000 0.5000 0.0000
0.5000 0.0000 0.5000
0.3750 0.6250 0.7500
0.6250 0.3750 0.2500
0.1250 0.8750 0.2500
0.8750 0.1250 0.7500

=====

[20]
LiTlC | Alexandria | PBE | optimized geometry; VASP energy = -3.45 eV/atom; ΔE_f = 1046 meV/atom; SG = P6_3/mmc (194)
1.0
3.8890 0.0000 0.0000
-1.9445 3.3680 0.0000
0.0000 0.0000 7.6925
Li Tl C
2 2 2
Direct
0.0000 0.0000 0.0000
0.0000 0.0000 0.5000
0.3333 0.6667 0.2500
0.6667 0.3333 0.7500
0.3333 0.6667 0.7500
0.6667 0.3333 0.2500

=====

[21]
LiTlC | Alexandria | PBE | optimized geometry; VASP energy = -4.25 eV/atom; ΔE_f = 256 meV/atom; SG = P-1 (2)
1.0
2.7464 0.0000 0.0000
-0.2056 3.3715 0.0000
-0.0104 -1.4889 10.3435
Li Tl C
2 2 2
Direct
0.2442 0.4462 0.3783
0.7558 0.5538 0.6217
0.2571 0.1745 0.8577
0.7429 0.8255 0.1423
0.2504 0.0106 0.5240
0.7496 0.9894 0.4760

=====

[22]
LiTlC | Alexandria | PBE | optimized geometry; VASP energy = -4.14 eV/atom; ΔE_f = 363 meV/atom; SG = P-6m2 (187)
1.0
3.6513 0.0000 0.0000
-1.8256 3.1621 0.0000
0.0000 0.0000 9.2097
Li Tl C
2 2 2
Direct
0.0000 0.0000 0.0000
0.0000 0.0000 0.5000
0.6667 0.3333 0.2420
0.6667 0.3333 0.7580
0.3333 0.6667 0.4291
0.3333 0.6667 0.5709

=====

[23]
LiTlC | Alexandria | PBE | optimized geometry; VASP energy = -4.32 eV/atom; ΔE_f = 180 meV/atom; SG = C2/m (12)
1.0
3.0103 -2.3666 0.0000
3.0103 2.3666 0.0000
-1.7329 0.0000 8.6653
Li Tl C
2 2 2
Direct
0.1897 0.1897 0.0812
0.8103 0.8103 0.9188
0.2998 0.2998 0.6365
0.7002 0.7002 0.3635
0.3666 0.6334 0.0000
0.6334 0.3666 0.0000

=====

[24]
LiTlC | Alexandria | PBE | optimized geometry; VASP energy = -3.54 eV/atom; ΔE_f = 959 meV/atom; SG = Pnma (62)
1.0
6.7078 0.0000 0.0000
0.0000 6.8912 0.0000
0.0000 0.0000 9.5796
Li Tl C
4 4 4
Direct
0.2475 0.2500 0.2492
0.2525 0.7500 0.7492
0.7475 0.2500 0.2508
0.7525 0.7500 0.7508
0.0000 0.0000 0.5000
0.0000 0.5000 0.5000
0.5000 0.0000 0.0000
0.5000 0.5000 0.0000
0.0017 0.7500 0.6263
0.4983 0.2500 0.1263
0.5017 0.7500 0.8737
0.9983 0.2500 0.3737

=====

[25]
LiTlC | Alexandria | PBE | optimized geometry; VASP energy = -2.80 eV/atom; ΔE_f = 1698 meV/atom; SG = P6_3/mmc (194)
1.0
5.0262 0.0000 0.0000
-2.5131 4.3529 0.0000
0.0000 0.0000 8.0279
Li Tl C
2 2 2
Direct
0.3333 0.6667 0.2500
0.6667 0.3333 0.7500
0.0000 0.0000 0.2500
0.0000 0.0000 0.7500
0.0000 0.0000 0.0000
0.0000 0.0000 0.5000

=====

[26]
LiTlC | Alexandria | PBE | optimized geometry; VASP energy = -3.62 eV/atom; ΔE_f = 877 meV/atom; SG = P6_3mc (186)
1.0
3.8504 0.0000 0.0000
-1.9252 3.3346 0.0000
0.0000 0.0000 6.8566
Li Tl C
2 2 2
Direct
0.0000 0.0000 0.0000
0.0000 0.0000 0.5000
0.3333 0.6667 0.2274
0.6667 0.3333 0.7274
0.3333 0.6667 0.5789
0.6667 0.3333 0.0789

=====

[27]
LiTlC | Alexandria | PBE | optimized geometry; VASP energy = -3.47 eV/atom; ΔE_f = 1035 meV/atom; SG = P4/mmm (123)
1.0
3.4876 0.0000 0.0000
0.0000 3.4876 0.0000
0.0000 0.0000 4.2162
Li Tl C
1 1 1
Direct
0.0000 0.0000 0.0000
0.5000 0.5000 0.5000
0.0000 0.0000 0.5000

=====

[28]
LiTlC | Alexandria | PBE | optimized geometry; VASP energy = -3.41 eV/atom; ΔE_f = 1091 meV/atom; SG = P-6m2 (187)
1.0
3.8630 0.0000 0.0000
-1.9315 3.3455 0.0000
0.0000 0.0000 4.1516
Li Tl C
1 1 1
Direct
0.0000 0.0000 0.0000
0.3333 0.6667 0.5000
0.6667 0.3333 0.5000